Record 1
Computed, not measured: a relaxed structure of Pm5SmDy12 at the PBE-GGA level of DFT.

Calculated density (kg/m³): 7978
VASP energy (eV/cell): -81.84
N(E_F) (states/eV/cell): 30.55

Cell and atoms, written as POSCAR:
```
Pm5SmDy12
1.0
11.3471 0.0000 0.0004
5.6735 8.6788 0.0002
-0.0002 0.0000 5.9716
Pm Sm Dy
5 1 12
Direct
0.5000 0.0000 0.5000 Pm
0.1667 0.6666 0.5000 Pm
0.8333 0.3334 0.5000 Pm
0.6668 0.6664 0.0000 Pm
0.3332 0.3336 0.0000 Pm
0.0000 0.0000 0.0000 Sm
0.8230 0.0000 0.4468 Dy
0.1770 0.0000 0.5532 Dy
0.6775 0.0000 0.9469 Dy
0.3225 0.0000 0.0531 Dy
0.3438 0.6671 0.9472 Dy
0.9891 0.6671 0.0528 Dy
0.0109 0.3329 0.9472 Dy
0.6562 0.3329 0.0528 Dy
0.5109 0.3332 0.5529 Dy
0.8441 0.6668 0.5529 Dy
0.1559 0.3332 0.4471 Dy
0.4891 0.6668 0.4471 Dy
```

***

Record 2
Computed, not measured: a relaxed structure of AlZnOs2 at the PBE-GGA level of DFT.

Calculated density (kg/m³): 14100
VASP energy (eV/cell): -27.43
N(E_F) (states/eV/cell): 3.32

Cell and atoms, written as POSCAR:
```
AlZnOs2
1.0
3.0297 0.0000 0.0000
0.0000 3.0297 0.0000
0.0000 0.0000 6.0669
Zn Os Al
1 2 1
Direct
0.0000 0.0000 0.5058 Zn
0.0000 0.0000 0.9839 Os
0.5000 0.5000 0.2637 Os
0.5000 0.5000 0.7466 Al
```

***

Record 3
Computed, not measured: a relaxed structure of V2BOs at the PBE-GGA level of DFT.

Calculated density (kg/m³): 10517
VASP energy (eV/cell): -37.03
N(E_F) (states/eV/cell): 2.84

Cell and atoms, written as POSCAR:
```
V2BOs
1.0
-1.2891 -2.1233 -1.4449
-0.4510 -2.5368 1.2725
-6.5344 0.5901 2.1051
B Os V
1 1 2
Direct
0.0000 0.0000 0.0000 B
0.5000 0.5000 0.5000 Os
0.2708 0.2708 0.1876 V
0.7292 0.7292 0.8124 V
```

***

Record 4
Computed, not measured: a relaxed structure of Ta2VIn at the PBE-GGA level of DFT.

Calculated density (kg/m³): 11295
VASP energy (eV/cell): -65.30
N(E_F) (states/eV/cell): 8.07

Cell and atoms, written as POSCAR:
```
Ta2VIn
1.0
3.9349 0.0000 0.0000
0.0000 3.9349 0.0000
1.9674 1.9674 10.0204
In Ta V
2 4 2
Direct
0.0000 0.0000 0.0000 In
0.7500 0.2500 0.5000 In
0.6166 0.1250 0.2500 Ta
0.1334 0.6250 0.2500 Ta
0.3750 0.3834 0.7500 Ta
0.8750 0.8666 0.7500 Ta
0.5000 0.5000 0.0000 V
0.2500 0.7500 0.5000 V
```